Record 1
Below is a relaxed structure of Rb3BrF6, with properties calculated at the GGA-PBE level.

Cell: 7.400 7.400 7.400 Å, 128.76 128.76 75.40°
Atoms (fractional coordinates):
Rb  0.000  0.000  0.000
Rb  0.250  0.750  0.500
Rb  0.750  0.250  0.500
Br  0.500  0.500  0.000
F  0.230  0.230  0.000
F  0.288  0.288  0.576
F  0.288  0.712  0.000
F  0.712  0.288  0.000
F  0.712  0.712  0.424
F  0.770  0.770  0.000

As for the density of states at the Fermi level: 0.00 states/eV per cell. Its magnetic moment is 0.00 Bohr magnetons per cell. As for the total energy: -35.519 eV/cell. The calculation puts the formation energy (no corrections) at -190 kJ/mol of atoms. Its energy above the most stable polymorph in this dataset is 0.081 eV/atom.

=====

Record 2
Below is a relaxed structure of YRe2Mo, with properties calculated at the GGA-PBE level.

Cell: 2.829 2.829 9.302 Å, 90.00 90.00 109.99°
Atoms (fractional coordinates):
Y  0.000  0.000  0.000
Re  0.000  0.000  0.492
Re  0.500  0.500  0.269
Mo  0.500  0.500  0.718

As for the density of states at the Fermi level: 4.19 states/eV per cell. Its magnetic moment is 0.00 Bohr magnetons per cell. The energy relative to the elements comes out at 0.4217 eV/atom. As for the total energy: -40.504 eV/cell. Its energy above the most stable polymorph in this dataset is 0.242 eV/atom.

=====

Record 3
Below is a relaxed structure of YMg2InNi, with properties calculated at the GGA-PBE level.

Cell: 4.897 4.897 4.919 Å, 90.00 90.00 90.00°
Atoms (fractional coordinates):
Y  0.000  0.000  0.000
Mg  0.000  0.500  0.500
Mg  0.500  0.000  0.500
In  0.500  0.500  0.000
Ni  0.000  0.000  0.500

As for the density of states at the Fermi level: 3.17 states/eV per cell. Its magnetic moment is 0.00 Bohr magnetons per cell. The energy relative to the elements comes out at -0.1231 eV/atom. As for the total energy: -18.788 eV/cell. Its energy above the most stable polymorph in this dataset is 0.011 eV/atom.

=====

Record 4
Below is a relaxed structure of SmYCu10, with properties calculated at the GGA-PBE level.

Cell: 4.104 5.084 8.731 Å, 90.00 90.00 90.00°
Atoms (fractional coordinates):
Sm  0.000  0.000  0.000
Y  0.000  0.500  0.500
Cu  0.000  0.000  0.335
Cu  0.000  0.000  0.665
Cu  0.000  0.500  0.168
Cu  0.000  0.500  0.832
Cu  0.500  0.000  0.500
Cu  0.500  0.251  0.252
Cu  0.500  0.251  0.748
Cu  0.500  0.500  0.000
Cu  0.500  0.749  0.252
Cu  0.500  0.749  0.748

As for the density of states at the Fermi level: 7.30 states/eV per cell. Its magnetic moment is 0.00 Bohr magnetons per cell. The energy relative to the elements comes out at -0.1837 eV/atom. As for the total energy: -54.349 eV/cell.

=====

Record 5
Below is a relaxed structure of Nd4Pd3Pt, with properties calculated at the GGA-PBE level.

Cell: 3.891 4.636 10.902 Å, 90.00 90.00 90.00°
Atoms (fractional coordinates):
Nd  0.000  0.000  0.000
Nd  0.000  0.500  0.271
Nd  0.500  0.000  0.495
Nd  0.500  0.500  0.771
Pd  0.000  0.000  0.719
Pd  0.000  0.500  0.550
Pd  0.500  0.500  0.047
Pt  0.500  0.000  0.221

As for the density of states at the Fermi level: 4.23 states/eV per cell. Its magnetic moment is 0.00 Bohr magnetons per cell. The energy relative to the elements comes out at -0.9007 eV/atom. As for the total energy: -47.896 eV/cell.

=====

Record 6
Below is a relaxed structure of CuHg2Br, with properties calculated at the GGA-PBE level.

Cell: 3.789 3.789 9.094 Å, 90.00 90.00 118.79°
Atoms (fractional coordinates):
Cu  0.000  0.000  0.000
Hg  0.000  0.000  0.490
Hg  0.500  0.500  0.781
Br  0.500  0.500  0.155

As for the density of states at the Fermi level: 0.54 states/eV per cell. Its magnetic moment is 0.00 Bohr magnetons per cell. As for the total energy: -6.328 eV/cell. The calculation puts the formation energy (no corrections) at 1 kJ/mol of atoms. Its energy above the most stable polymorph in this dataset is 0.104 eV/atom.

=====

Record 7
Below is a relaxed structure of Li2Sm2Cd15, with properties calculated at the GGA-PBE level.

Cell: 7.632 7.632 7.632 Å, 81.99 81.99 81.99°
Atoms (fractional coordinates):
Li  0.100  0.100  0.100
Li  0.900  0.900  0.900
Sm  0.336  0.336  0.336
Sm  0.664  0.664  0.664
Cd  0.000  0.000  0.500
Cd  0.000  0.297  0.703
Cd  0.000  0.500  0.000
Cd  0.000  0.703  0.297
Cd  0.156  0.642  0.642
Cd  0.297  0.000  0.703
Cd  0.297  0.703  0.000
Cd  0.358  0.358  0.844
Cd  0.358  0.844  0.358
Cd  0.500  0.000  0.000
Cd  0.642  0.156  0.642
Cd  0.642  0.642  0.156
Cd  0.703  0.000  0.297
Cd  0.703  0.297  0.000
Cd  0.844  0.358  0.358

As for the density of states at the Fermi level: 7.83 states/eV per cell. Its magnetic moment is 0.00 Bohr magnetons per cell. The energy relative to the elements comes out at -0.1671 eV/atom. As for the total energy: -30.167 eV/cell.

=====

Record 8
Below is a relaxed structure of NbReNi4, with properties calculated at the GGA-PBE level.

Cell: 4.728 4.728 4.728 Å, 60.00 60.00 60.00°
Atoms (fractional coordinates):
Nb  0.000  0.000  0.000
Re  0.750  0.750  0.750
Ni  0.376  0.376  0.376
Ni  0.376  0.376  0.873
Ni  0.376  0.873  0.376
Ni  0.873  0.376  0.376

As for the density of states at the Fermi level: 8.96 states/eV per cell. Its magnetic moment is 0.00 Bohr magnetons per cell. The energy relative to the elements comes out at -0.1072 eV/atom. As for the total energy: -46.287 eV/cell.

=====

Record 9
Below is a relaxed structure of SmAsAu, with properties calculated at the GGA-PBE level.

Cell: 9.448 9.448 4.017 Å, 90.00 90.00 156.33°
Atoms (fractional coordinates):
Sm  0.123  0.877  0.750
Sm  0.877  0.123  0.250
As  0.249  0.751  0.250
As  0.751  0.249  0.750
Au  0.448  0.552  0.750
Au  0.552  0.448  0.250

As for the density of states at the Fermi level: 3.17 states/eV per cell. Its magnetic moment is 0.00 Bohr magnetons per cell. The energy relative to the elements comes out at -0.7562 eV/atom. As for the total energy: -29.829 eV/cell.

=====

Record 10
Below is a relaxed structure of Dy2Er5Mg, with properties calculated at the GGA-PBE level.

Cell: 3.503 8.529 16.365 Å, 93.97 90.11 90.02°
Atoms (fractional coordinates):
Dy  0.000  0.224  0.046
Dy  0.000  0.776  0.954
Dy  0.002  0.202  0.457
Dy  0.998  0.798  0.543
Er  0.002  0.921  0.163
Er  0.497  0.103  0.651
Er  0.497  0.468  0.592
Er  0.499  0.746  0.754
Er  0.500  0.431  0.905
Er  0.500  0.569  0.095
Er  0.501  0.254  0.246
Er  0.503  0.532  0.408
Er  0.503  0.897  0.349
Er  0.998  0.079  0.837
Mg  0.002  0.594  0.256
Mg  0.998  0.406  0.744

As for the density of states at the Fermi level: 25.15 states/eV per cell. Its magnetic moment is 0.00 Bohr magnetons per cell. The energy relative to the elements comes out at 0.0834 eV/atom. As for the total energy: -65.891 eV/cell. Its energy above the most stable polymorph in this dataset is 0.060 eV/atom.

=====

Record 11
Below is a relaxed structure of Tb2NdErTm4, with properties calculated at the GGA-PBE level.

Cell: 7.085 7.074 9.927 Å, 90.00 90.04 90.00°
Atoms (fractional coordinates):
Tb  0.000  0.000  0.000
Tb  0.000  0.000  0.500
Tb  0.000  0.500  0.000
Tb  0.500  0.000  0.000
Nd  0.500  0.000  0.500
Nd  0.500  0.500  0.000
Er  0.000  0.500  0.500
Er  0.500  0.500  0.500
Tm  0.248  0.251  0.251
Tm  0.248  0.749  0.251
Tm  0.249  0.251  0.749
Tm  0.249  0.749  0.749
Tm  0.751  0.251  0.251
Tm  0.751  0.749  0.251
Tm  0.752  0.251  0.749
Tm  0.752  0.749  0.749

As for the density of states at the Fermi level: 20.72 states/eV per cell. Its magnetic moment is 0.00 Bohr magnetons per cell. The energy relative to the elements comes out at 0.0203 eV/atom. As for the total energy: -72.630 eV/cell.

=====

Record 12
Below is a relaxed structure of La4BiH, with properties calculated at the GGA-PBE level.

Cell: 6.283 6.315 9.500 Å, 97.65 109.28 90.05°
Atoms (fractional coordinates):
La  0.099  0.314  0.414
La  0.194  0.237  0.819
La  0.315  0.813  0.414
La  0.376  0.263  0.182
La  0.624  0.737  0.818
La  0.685  0.187  0.586
La  0.806  0.763  0.181
La  0.901  0.686  0.586
Bi  0.224  0.750  0.000
Bi  0.776  0.250  0.000
H  0.000  0.000  0.500
H  0.500  0.500  0.500

As for the density of states at the Fermi level: 12.51 states/eV per cell. Its magnetic moment is 0.00 Bohr magnetons per cell. As for the total energy: -57.713 eV/cell.

=====

Record 13
Below is a relaxed structure of Pr2Sm3Si4, with properties calculated at the GGA-PBE level.

Cell: 7.852 7.909 7.712 Å, 90.00 105.75 90.00°
Atoms (fractional coordinates):
Pr  0.203  0.182  0.093
Pr  0.203  0.318  0.593
Pr  0.797  0.682  0.407
Pr  0.797  0.818  0.907
Sm  0.242  0.682  0.255
Sm  0.242  0.818  0.755
Sm  0.500  0.000  0.500
Sm  0.500  0.500  0.000
Sm  0.758  0.182  0.245
Sm  0.758  0.318  0.745
Si  0.081  0.527  0.887
Si  0.081  0.973  0.387
Si  0.494  0.116  0.881
Si  0.494  0.384  0.381
Si  0.506  0.616  0.619
Si  0.506  0.884  0.119
Si  0.919  0.027  0.613
Si  0.919  0.473  0.113

As for the density of states at the Fermi level: 19.26 states/eV per cell. Its magnetic moment is 0.00 Bohr magnetons per cell. As for the total energy: -103.587 eV/cell. The calculation puts the formation energy (no corrections) at -68 kJ/mol of atoms.

=====

Record 14
Below is a relaxed structure of Dy3Y2HoTe6, with properties calculated at the GGA-PBE level.

Cell: 9.731 9.731 8.749 Å, 102.91 102.91 25.75°
Atoms (fractional coordinates):
Dy  0.000  0.000  0.000
Dy  0.332  0.332  0.667
Dy  0.668  0.668  0.333
Y  0.333  0.333  0.166
Y  0.667  0.667  0.834
Ho  0.000  0.000  0.500
Te  0.166  0.166  0.084
Te  0.166  0.166  0.582
Te  0.500  0.500  0.251
Te  0.500  0.500  0.749
Te  0.834  0.834  0.418
Te  0.834  0.834  0.916

As for the density of states at the Fermi level: 6.42 states/eV per cell. Its magnetic moment is 0.00 Bohr magnetons per cell. As for the total energy: -65.564 eV/cell. The calculation puts the formation energy (no corrections) at -124 kJ/mol of atoms.

=====

Record 15
Below is a relaxed structure of CdTcPb2, with properties calculated at the GGA-PBE level.

Cell: 9.674 9.674 9.674 Å, 20.32 20.32 20.32°
Atoms (fractional coordinates):
Cd  0.000  0.000  0.000
Tc  0.500  0.500  0.500
Pb  0.239  0.239  0.239
Pb  0.761  0.761  0.761

As for the density of states at the Fermi level: 2.95 states/eV per cell. Its magnetic moment is 0.00 Bohr magnetons per cell. The energy relative to the elements comes out at 0.4345 eV/atom. As for the total energy: -16.960 eV/cell.

=====

Record 16
Below is a relaxed structure of Mn2CoPb, with properties calculated at the GGA-PBE level.

Cell: 8.776 8.776 8.776 Å, 20.22 20.22 20.22°
Atoms (fractional coordinates):
Mn  0.235  0.235  0.235
Mn  0.765  0.765  0.765
Co  0.500  0.500  0.500
Pb  0.000  0.000  0.000

As for the density of states at the Fermi level: 2.42 states/eV per cell. Its magnetic moment is 9.27 Bohr magnetons per cell. The energy relative to the elements comes out at 0.5088 eV/atom. As for the total energy: -27.118 eV/cell. Its energy above the most stable polymorph in this dataset is 0.193 eV/atom.

=====

Record 17
Below is a relaxed structure of YB3Br, with properties calculated at the GGA-PBE level.

Cell: 4.237 4.237 4.237 Å, 90.00 90.00 90.00°
Atoms (fractional coordinates):
Y  0.000  0.000  0.000
B  0.000  0.500  0.500
B  0.500  0.000  0.500
B  0.500  0.500  0.000
Br  0.500  0.500  0.500

As for the density of states at the Fermi level: 2.17 states/eV per cell. Its magnetic moment is 0.00 Bohr magnetons per cell. As for the total energy: -19.170 eV/cell. The calculation puts the formation energy (no corrections) at 174 kJ/mol of atoms. Its energy above the most stable polymorph in this dataset is 0.000 eV/atom.

=====

Record 18
Below is a relaxed structure of BaMgCr2, with properties calculated at the GGA-PBE level.

Cell: 10.352 10.352 10.352 Å, 19.28 19.28 19.28°
Atoms (fractional coordinates):
Ba  0.000  0.000  0.000
Mg  0.500  0.500  0.500
Cr  0.239  0.239  0.239
Cr  0.761  0.761  0.761

As for the density of states at the Fermi level: 4.95 states/eV per cell. Its magnetic moment is 8.35 Bohr magnetons per cell. The energy relative to the elements comes out at 1.0348 eV/atom. As for the total energy: -18.625 eV/cell.

=====

Record 19
Below is a relaxed structure of Cs2Al3AgF12, with properties calculated at the GGA-PBE level.

Cell: 7.535 7.535 7.535 Å, 56.65 56.65 56.65°
Atoms (fractional coordinates):
Cs  0.121  0.121  0.121
Cs  0.879  0.879  0.879
Al  0.000  0.500  0.500
Al  0.500  0.000  0.500
Al  0.500  0.500  0.000
Ag  0.500  0.500  0.500
F  0.090  0.597  0.597
F  0.210  0.210  0.584
F  0.210  0.584  0.210
F  0.403  0.403  0.910
F  0.403  0.910  0.403
F  0.416  0.790  0.790
F  0.584  0.210  0.210
F  0.597  0.090  0.597
F  0.597  0.597  0.090
F  0.790  0.416  0.790
F  0.790  0.790  0.416
F  0.910  0.403  0.403

As for the density of states at the Fermi level: 0.00 states/eV per cell. Its magnetic moment is 0.14 Bohr magnetons per cell. As for the total energy: -95.240 eV/cell. The calculation puts the formation energy (no corrections) at -306 kJ/mol of atoms.

=====

Record 20
Below is a relaxed structure of LiHg2Cl, with properties calculated at the GGA-PBE level.

Cell: 4.234 5.076 5.356 Å, 90.00 90.00 90.00°
Atoms (fractional coordinates):
Li  0.000  0.000  0.000
Hg  0.500  0.500  0.253
Hg  0.500  0.500  0.747
Cl  0.000  0.000  0.500

As for the density of states at the Fermi level: 0.70 states/eV per cell. Its magnetic moment is 0.00 Bohr magnetons per cell. As for the total energy: -6.251 eV/cell. The calculation puts the formation energy (no corrections) at -46 kJ/mol of atoms. Its energy above the most stable polymorph in this dataset is 0.359 eV/atom.